# 1
Entry from the Alexandria database: crystalline LiS4Br at its relaxed geometry (GGA-PBE).

Cell lengths 4.432, 8.799, 9.644 Å; angles 62.97, 76.93, 79.12 degrees
Fractional coordinates of all 12 atoms:
Li 0.179 0.111 0.040
Li 0.821 0.889 0.960
S 0.041 0.176 0.468
S 0.141 0.397 0.071
S 0.145 0.409 0.556
S 0.191 0.677 0.701
S 0.809 0.323 0.299
S 0.855 0.591 0.444
S 0.859 0.603 0.929
S 0.959 0.824 0.532
Br 0.342 0.000 0.831
Br 0.658 0.000 0.169

Results
**Energy relative to the elements, uncorrected**: -0.302 eV/atom

---

# 2
Entry from the Alexandria database: crystalline MgAs at its relaxed geometry (GGA-PBE).

Cell lengths 6.395, 6.395, 6.395 Å; angles 41.38, 41.38, 41.38 degrees
Fractional coordinates of all 4 atoms:
Mg 0.238 0.238 0.238
Mg 0.762 0.762 0.762
As 0.073 0.073 0.073
As 0.927 0.927 0.927

Results
**Distance to the lowest polymorph of the same formula**: 0.071 eV per atom
**Calculated formation energy**: -0.35 eV per atom

---

# 3
Entry from the Alexandria database: crystalline Ba2Ga4Pt3Rh at its relaxed geometry (GGA-PBE).

Cell lengths 4.455, 4.455, 10.699 Å; angles 90.00, 90.00, 90.00 degrees
Fractional coordinates of all 10 atoms:
Ba 0.000 0.500 0.245
Ba 0.500 0.000 0.755
Ga 0.000 0.000 0.500
Ga 0.000 0.500 0.880
Ga 0.500 0.000 0.120
Ga 0.500 0.500 0.500
Pt 0.000 0.000 0.000
Pt 0.000 0.500 0.627
Pt 0.500 0.000 0.373
Rh 0.500 0.500 0.000

Results
**Calculated formation energy**: -0.77 eV per atom

---

# 4
Entry from the Alexandria database: crystalline HgNF3 at its relaxed geometry (GGA-PBE).

Cell lengths 3.729, 6.136, 8.300 Å; angles 87.93, 78.25, 82.36 degrees
Fractional coordinates of all 10 atoms:
Hg 0.205 0.249 0.099
Hg 0.795 0.751 0.901
N 0.049 0.764 0.377
N 0.951 0.236 0.623
F 0.232 0.254 0.495
F 0.287 0.522 0.863
F 0.336 0.980 0.865
F 0.664 0.020 0.135
F 0.713 0.478 0.137
F 0.768 0.746 0.505

Results
**Distance to the lowest polymorph of the same formula**: 0.000 eV per atom
**Energy relative to the elements, uncorrected**: -0.377 eV/atom

---

# 5
Entry from the Alexandria database: crystalline Sm5DyZn4 at its relaxed geometry (GGA-PBE).

Cell lengths 3.636, 3.636, 19.590 Å; angles 90.00, 90.00, 90.00 degrees
Fractional coordinates of all 10 atoms:
Sm 0.000 0.000 0.000
Sm 0.000 0.000 0.185
Sm 0.000 0.000 0.371
Sm 0.000 0.000 0.629
Sm 0.000 0.000 0.815
Dy 0.500 0.500 0.500
Zn 0.500 0.500 0.094
Zn 0.500 0.500 0.279
Zn 0.500 0.500 0.721
Zn 0.500 0.500 0.906

Results
**Calculated formation energy**: -0.25 eV per atom

---

# 6
Entry from the Alexandria database: crystalline LaTc6S8 at its relaxed geometry (GGA-PBE).

Cell lengths 6.426, 6.426, 6.426 Å; angles 88.84, 88.84, 88.84 degrees
Fractional coordinates of all 15 atoms:
La 0.000 0.000 0.000
Tc 0.220 0.569 0.414
Tc 0.414 0.220 0.569
Tc 0.431 0.586 0.780
Tc 0.569 0.414 0.220
Tc 0.586 0.780 0.431
Tc 0.780 0.431 0.586
S 0.124 0.372 0.754
S 0.246 0.876 0.628
S 0.248 0.248 0.248
S 0.372 0.754 0.124
S 0.628 0.246 0.876
S 0.752 0.752 0.752
S 0.754 0.124 0.372
S 0.876 0.628 0.246

Results
**Energy relative to the elements, uncorrected**: -0.721 eV/atom

---

# 7
Entry from the Alexandria database: crystalline Gd3SbH at its relaxed geometry (GGA-PBE).

Cell lengths 4.838, 4.838, 4.838 Å; angles 90.00, 90.00, 90.00 degrees
Fractional coordinates of all 5 atoms:
Gd 0.000 0.000 0.500
Gd 0.000 0.500 0.000
Gd 0.500 0.000 0.000
Sb 0.500 0.500 0.500
H 0.000 0.000 0.000

---

# 8
Entry from the Alexandria database: crystalline Tb5Er6Mg at its relaxed geometry (GGA-PBE).

Cell lengths 7.843, 7.843, 6.084 Å; angles 97.18, 97.18, 84.13 degrees
Fractional coordinates of all 12 atoms:
Tb 0.000 0.000 0.000
Tb 0.166 0.834 0.500
Tb 0.334 0.666 0.000
Tb 0.666 0.334 0.000
Tb 0.834 0.166 0.500
Er 0.084 0.416 0.246
Er 0.249 0.249 0.748
Er 0.416 0.084 0.246
Er 0.584 0.916 0.754
Er 0.751 0.751 0.252
Er 0.916 0.584 0.754
Mg 0.500 0.500 0.500

Results
**Calculated formation energy**: 0.02 eV per atom

---

# 9
Entry from the Alexandria database: crystalline Sm7Er2In2 at its relaxed geometry (GGA-PBE).

Cell lengths 10.577, 10.577, 10.577 Å; angles 160.08, 67.59, 116.17 degrees
Fractional coordinates of all 11 atoms:
Sm 0.000 0.000 0.000
Sm 0.010 0.686 0.324
Sm 0.332 0.437 0.894
Sm 0.363 0.686 0.676
Sm 0.543 0.437 0.106
Sm 0.560 0.211 0.349
Sm 0.862 0.211 0.651
Er 0.171 0.947 0.224
Er 0.723 0.947 0.776
In 0.243 0.743 0.500
In 0.695 0.695 0.000

Results
**Calculated formation energy**: -0.04 eV per atom

---

# 10
Entry from the Alexandria database: crystalline Hg3H2Pd6 at its relaxed geometry (GGA-PBE).

Cell lengths 12.046, 12.046, 4.723 Å; angles 100.77, 100.77, 14.40 degrees
Fractional coordinates of all 11 atoms:
Hg 0.000 0.000 0.000
Hg 0.205 0.205 0.191
Hg 0.795 0.795 0.809
H 0.400 0.400 0.535
H 0.600 0.600 0.465
Pd 0.065 0.065 0.563
Pd 0.324 0.324 0.338
Pd 0.398 0.398 0.918
Pd 0.602 0.602 0.082
Pd 0.676 0.676 0.662
Pd 0.935 0.935 0.437

---

# 11
Entry from the Alexandria database: crystalline Tb2DyUAs4 at its relaxed geometry (GGA-PBE).

Cell lengths 7.128, 4.102, 7.129 Å; angles 90.00, 109.17, 90.00 degrees
Fractional coordinates of all 8 atoms:
Tb 0.000 0.000 0.000
Tb 0.500 0.500 0.000
Dy 0.000 0.500 0.500
U 0.500 0.000 0.500
As 0.253 0.000 0.746
As 0.253 0.500 0.254
As 0.747 0.000 0.254
As 0.747 0.500 0.746

Results
**Calculated formation energy**: -1.33 eV per atom

---

# 12
Entry from the Alexandria database: crystalline CrFe2Se at its relaxed geometry (GGA-PBE).

Cell lengths 2.768, 3.964, 5.062 Å; angles 90.00, 103.58, 90.00 degrees
Fractional coordinates of all 4 atoms:
Cr 0.000 0.000 0.000
Fe 0.427 0.500 0.759
Fe 0.573 0.500 0.241
Se 0.500 0.000 0.500

Results
**Distance to the lowest polymorph of the same formula**: 0.071 eV per atom
**Energy relative to the elements, uncorrected**: 0.263 eV/atom

---

| no. | total magnetization (μB per cell) | total DFT energy (no corrections) (Ry/atom) |
| --- | --- | --- |
| 1 | 0.000 | -0.26838 |
| 2 | 0.000 | -0.25491 |
| 3 | 0.000 | -0.36129 |
| 4 | 4.000 | -0.23707 |
| 5 | 0.000 | -0.26308 |
| 6 | 0.000 | -0.54367 |
| 7 | 22.551 | -0.77358 |
| 8 | 0.000 | -0.31747 |
| 9 | 0.001 | -0.32097 |
| 10 | 0.000 | -0.26540 |
| 11 | 2.318 | -0.49999 |
| 12 | 1.627 | -0.53249 |